1.
This record from Alexandria describes crystalline Li2Ni at its relaxed geometry. The functional is PBE.

Structure (POSCAR):
```
Li2Ni
1.0
-2.5235 7.4305 1.2069
-3.1382 2.0387 7.0023
3.9992 4.8050 4.8945
Li Ni
16 8
direct
0.5000 0.0000 0.0000 Li
0.5000 0.5000 0.0000 Li
0.0000 0.5000 0.0000 Li
0.5000 0.5000 0.5000 Li
0.3252 0.9248 0.8252 Li
0.9248 0.9248 0.8252 Li
0.9248 0.3252 0.8252 Li
0.3252 0.9248 0.4248 Li
0.3252 0.3252 0.4248 Li
0.9248 0.3252 0.4248 Li
0.6748 0.0752 0.1748 Li
0.0752 0.0752 0.1748 Li
0.0752 0.6748 0.1748 Li
0.6748 0.0752 0.5752 Li
0.6748 0.6748 0.5752 Li
0.0752 0.6748 0.5752 Li
0.7015 0.7015 0.8954 Ni
0.3954 0.7015 0.2015 Ni
0.7015 0.7015 0.2015 Ni
0.7015 0.3954 0.2015 Ni
0.2985 0.2985 0.1046 Ni
0.6046 0.2985 0.7985 Ni
0.2985 0.2985 0.7985 Ni
0.2985 0.6046 0.7985 Ni
```

Output
- final energy (eV/atom) = -3.14
- space group = Fd-3m

---

2.
This record from Alexandria describes crystalline BaVNi2Ir at its relaxed geometry. The functional is PBE.

Structure (POSCAR):
```
BaVNi2Ir
1.0
-3.0056 -0.6250 -3.4781
3.8130 -0.8097 -3.1495
-0.1691 -4.5353 0.9612
Ni Ir Ba V
2 1 1 1
direct
0.0000 0.0000 0.5000 Ni
0.5000 0.0000 0.0000 Ni
0.5000 0.5000 0.5000 Ir
0.0000 0.0000 0.0000 Ba
0.0000 0.5000 0.0000 V
```

Output
- final energy (eV/atom) = -3.89
- space group = P4/mmm

---

3.
This record from Alexandria describes crystalline In2TcTe at its relaxed geometry. The functional is PBE.

Structure (POSCAR):
```
In2TcTe
1.0
-4.2523 -3.3789 -1.3413
-1.1689 -3.8831 3.8540
0.7721 5.5404 0.0795
In Tc Te
2 1 1
direct
0.0000 0.0000 0.0000 In
0.5000 0.5000 0.0000 In
0.2500 0.7500 0.5000 Tc
0.7500 0.2500 0.5000 Te
```

Output
- uncorrected formation energy (meV/atom) = 545
- space group = I4/mmm

---

4.
This record from Alexandria describes crystalline Pm2Al4InPt3 at its relaxed geometry. The functional is PBE.

Structure (POSCAR):
```
Pm2Al4InPt3
1.0
-3.7064 0.1007 2.1866
-1.7762 -2.6513 -2.8886
3.1941 -8.4630 5.8037
Pm Al In Pt
2 4 1 3
direct
0.5000 0.0000 0.2410 Pm
0.0000 0.5000 0.7590 Pm
0.5000 0.5000 0.0000 Al
0.0000 0.0000 0.0000 Al
0.5000 0.0000 0.6475 Al
0.0000 0.5000 0.3525 Al
0.5000 0.5000 0.5000 In
0.0000 0.0000 0.5000 Pt
0.5000 0.0000 0.8746 Pt
0.0000 0.5000 0.1254 Pt
```

Output
- final energy (eV/atom) = -5.48
- space group = P-4m2

---

5.
This record from Alexandria describes crystalline LiCa2SiO at its relaxed geometry. The functional is PBE.

Structure (POSCAR):
```
LiCa2SiO
1.0
4.9098 0.0000 0.0000
0.0000 4.9098 0.0000
0.0000 0.0000 3.8186
Ca Si O Li
2 1 1 1
direct
0.0000 0.5000 0.0000 Ca
0.5000 0.0000 0.0000 Ca
0.5000 0.5000 0.5000 Si
0.0000 0.0000 0.0000 O
0.0000 0.0000 0.5000 Li
```

Output
- uncorrected formation energy (meV/atom) = -1319
- space group = P4/mmm

---

6.
This record from Alexandria describes crystalline CdPtCl5 at its relaxed geometry. The functional is PBE.

Structure (POSCAR):
```
CdPtCl5
1.0
6.2940 0.4468 -1.7691
-0.6701 6.2742 -1.7691
-0.0830 -0.0992 9.4710
Cd Pt Cl
2 2 10
direct
0.9456 0.5544 0.2500 Cd
0.0544 0.4456 0.7500 Cd
0.0000 0.0000 0.0000 Pt
0.5000 0.5000 0.5000 Pt
0.8179 0.8848 0.1450 Cl
0.7800 0.2696 0.4875 Cl
0.3848 0.3179 0.6450 Cl
0.2378 0.2622 0.2500 Cl
0.2304 0.7200 0.0125 Cl
0.7696 0.2800 0.9875 Cl
0.7622 0.7378 0.7500 Cl
0.6152 0.6821 0.3550 Cl
0.2200 0.7304 0.5125 Cl
0.1821 0.1152 0.8550 Cl
```

Output
- uncorrected formation energy (meV/atom) = -681
- space group = C2/c

---

7.
This record from Alexandria describes crystalline K2DyU2Se6 at its relaxed geometry. The functional is PBE.

Structure (POSCAR):
```
K2DyU2Se6
1.0
7.2304 -0.0266 0.0746
-3.5968 6.2724 0.0746
-1.2809 -2.2017 7.8130
K Dy U Se
2 1 2 6
direct
0.8340 0.1660 0.0000 K
0.1660 0.8340 0.0000 K
0.0000 0.0000 0.5000 Dy
0.3341 0.6659 0.5000 U
0.6659 0.3341 0.5000 U
0.7334 0.7334 0.7017 Se
0.0656 0.4007 0.7009 Se
0.2666 0.2666 0.2983 Se
0.4007 0.0656 0.7009 Se
0.9344 0.5993 0.2991 Se
0.5993 0.9344 0.2991 Se
```

Output
- uncorrected formation energy (meV/atom) = -1425
- space group = C2/m

---

8.
This record from Alexandria describes crystalline Sm8Dy2Cd at its relaxed geometry. The functional is PBE.

Structure (POSCAR):
```
Sm8Dy2Cd
1.0
5.0685 0.0000 0.0000
-2.5342 5.6660 0.1090
0.0000 2.9001 12.3403
Sm Dy Cd
8 2 1
direct
0.5904 0.1808 0.3603 Sm
0.7560 0.5120 0.0883 Sm
0.8600 0.7201 0.4525 Sm
0.9630 0.9261 0.8224 Sm
0.1400 0.2799 0.5475 Sm
0.2440 0.4880 0.9117 Sm
0.4096 0.8192 0.6397 Sm
0.0370 0.0739 0.1776 Sm
0.6854 0.3708 0.7370 Dy
0.3146 0.6292 0.2630 Dy
0.5000 0.0000 0.0000 Cd
```

Output
- final energy (eV/atom) = -4.37
- space group = C2/m

---

9.
This record from Alexandria describes crystalline DyCdAg2 at its relaxed geometry. The functional is PBE.

Structure (POSCAR):
```
DyCdAg2
1.0
-0.6843 3.6792 -1.4696
-2.7859 -1.8407 -3.3110
-3.7027 0.4548 2.8626
Cd Ag Dy
1 2 1
direct
0.5000 0.0000 0.0000 Cd
0.0000 0.0000 0.5000 Ag
0.0000 0.5000 0.0000 Ag
0.5000 0.5000 0.5000 Dy
```

Output
- final energy (eV/atom) = -2.96
- space group = P4/mmm

---

10.
This record from Alexandria describes crystalline KTl2Sn2 at its relaxed geometry. The functional is PBE.

Structure (POSCAR):
```
KTl2Sn2
1.0
9.4740 0.0000 0.0000
0.0000 9.4740 0.0000
0.0000 0.0000 3.6172
K Tl Sn
2 4 4
direct
0.0000 0.0000 0.0000 K
0.5000 0.5000 0.0000 K
0.1666 0.6666 0.5000 Tl
0.6666 0.8334 0.5000 Tl
0.8334 0.3334 0.5000 Tl
0.3334 0.1666 0.5000 Tl
0.3790 0.8790 0.0000 Sn
0.8790 0.6210 0.0000 Sn
0.6210 0.1210 0.0000 Sn
0.1210 0.3790 0.0000 Sn
```

Output
- final energy (eV/atom) = -2.81
- space group = P4/mbm

---

11.
This record from Alexandria describes crystalline NbBRu2Cl at its relaxed geometry. The functional is PBE.

Structure (POSCAR):
```
NbBRu2Cl
1.0
-2.4226 -3.0375 -1.7008
1.9637 -3.0943 2.7293
-2.9660 0.7161 2.9458
Ru Nb B Cl
2 1 1 1
direct
0.0000 0.0000 0.5000 Ru
0.5000 0.0000 0.0000 Ru
0.0000 0.5000 0.0000 Nb
0.5000 0.5000 0.5000 B
0.0000 0.0000 0.0000 Cl
```

Output
- uncorrected formation energy (meV/atom) = 1580
- space group = P4/mmm

---

12.
This record from Alexandria describes crystalline Nd3Dy6Tl at its relaxed geometry. The functional is PBE.

Structure (POSCAR):
```
Nd3Dy6Tl
1.0
3.5281 0.0000 0.0000
0.0000 12.3860 -3.4338
0.0000 1.0822 14.3804
Nd Dy Tl
6 12 2
direct
0.7500 0.4215 0.9019 Nd
0.2500 0.5785 0.0981 Nd
0.7500 0.6327 0.5055 Nd
0.2500 0.3673 0.4945 Nd
0.7500 0.0759 0.1015 Nd
0.2500 0.9241 0.8985 Nd
0.7500 0.4876 0.6904 Dy
0.2500 0.5124 0.3096 Dy
0.7500 0.8096 0.0785 Dy
0.2500 0.1904 0.9215 Dy
0.7500 0.3432 0.1173 Dy
0.2500 0.6568 0.8827 Dy
0.7500 0.7583 0.3128 Dy
0.2500 0.2417 0.6872 Dy
0.7500 0.1072 0.4579 Dy
0.2500 0.8928 0.5421 Dy
0.7500 0.7726 0.7164 Dy
0.2500 0.2274 0.2836 Dy
0.7500 0.0357 0.7272 Tl
0.2500 0.9643 0.2728 Tl
```

Output
- final energy (eV/atom) = -4.41
- space group = P2_1/m